The following is a DFT calculation (GGA-PBE) of an optimized crystal structure of InNi2Ge2.

Properties
Calculated density: 8.0 g/cm3
M_tot: 0.00 μB per cell
DOS(E_F): 5.39 states/eV/cell

Geometry as CIF:
```
data_InNi2Ge2
_cell_length_a 7.638
_cell_length_b 7.638
_cell_length_c 2.702
_cell_angle_alpha 90.00
_cell_angle_beta 90.00
_cell_angle_gamma 90.00
_symmetry_space_group_name_H-M 'P 4/m b m'
_symmetry_Int_Tables_number 127
_symmetry_space_group_name_Hall '-P 4 2ab'
loop_
_atom_site_label
_atom_site_fract_x
_atom_site_fract_y
_atom_site_fract_z
In1 0.000 0.000 0.000
Ni1 0.158 0.342 0.500
Ge1 0.132 0.632 0.000
```

The following is a DFT calculation (GGA-PBE) of an optimized crystal structure of InNi9Ge2.

Properties
Calculated density: 9.1 g/cm3
M_tot: 0.47 μB per cell
DOS(E_F): 14.38 states/eV/cell

Geometry as CIF:
```
data_InNi9Ge2
_cell_length_a 3.636
_cell_length_b 3.636
_cell_length_c 10.879
_cell_angle_alpha 90.00
_cell_angle_beta 90.00
_cell_angle_gamma 90.00
_symmetry_space_group_name_H-M 'P 4/m m m'
_symmetry_Int_Tables_number 123
_symmetry_space_group_name_Hall '-P 4 2'
loop_
_atom_site_label
_atom_site_fract_x
_atom_site_fract_y
_atom_site_fract_z
In1 0.000 0.000 0.000
Ni1 0.000 0.500 0.180
Ni2 0.000 0.500 0.500
Ni3 0.500 0.500 0.000
Ni4 0.500 0.500 0.340
Ge1 0.000 0.000 0.337
```

The following is a DFT calculation (GGA-PBE) of an optimized crystal structure of Np2InNi4Ge3.

Properties
Calculated density: 10.2 g/cm3
M_tot: 7.79 μB per cell
DOS(E_F): 24.47 states/eV/cell

Geometry as CIF:
```
data_Np2InNi4Ge3
_cell_length_a 4.112
_cell_length_b 4.112
_cell_length_c 10.049
_cell_angle_alpha 90.00
_cell_angle_beta 90.00
_cell_angle_gamma 90.00
_symmetry_space_group_name_H-M 'P -4 m 2'
_symmetry_Int_Tables_number 115
_symmetry_space_group_name_Hall 'P -4 -2'
loop_
_atom_site_label
_atom_site_fract_x
_atom_site_fract_y
_atom_site_fract_z
Np1 0.000 0.500 0.236
In1 0.000 0.000 0.500
Ni1 0.000 0.000 0.000
Ni2 0.000 0.500 0.647
Ni3 0.500 0.500 0.000
Ge1 0.000 0.500 0.877
Ge2 0.500 0.500 0.500
```

Number 1: formation energy from the elements 56 meV per atom. Number 2: formation energy from the elements -203 meV per atom. Number 3: formation energy from the elements -259 meV per atom.